# 1
A relaxed structure of GaHgPd5, computed with GGA-PBE.

Geometry as POSCAR:
```
GaHgPd5
1.0
-0.4548 3.9175 -2.4825
-4.3405 -1.0919 1.2978
0.6588 3.1548 4.8577
Hg Ga Pd
1 1 5
Cartesian
0.0000 0.0000 0.0000
-2.0682 2.9902 1.8365
-2.4555 4.1836 -0.5831
-4.3983 1.6789 1.3070
-1.6810 1.7969 4.2562
0.3294 1.5774 2.4289
0.2618 4.3015 2.3661
```

Values from the calculation:
Its relative energy among the computed polymorphs is 0.000 eV per atom. The total magnetization is 0.000 μB per cell. For the formation energy, the calculation gives -20.3 kJ/mol of atoms.

# 2
A relaxed structure of GaHg3Pd12, computed with GGA-PBE.

Geometry as POSCAR:
```
GaHg3Pd12
1.0
4.0261 0.0000 0.0000
0.0000 4.0261 0.0000
0.0000 0.0000 16.0244
Pd Ga Hg
12 1 3
Cartesian
2.0131 2.0131 3.9142
2.0131 0.0000 1.8485
2.0131 0.0000 5.9666
2.0131 0.0000 10.0579
0.0000 2.0131 10.0579
2.0131 2.0131 0.0000
0.0000 2.0131 14.1759
0.0000 2.0131 5.9666
2.0131 0.0000 14.1759
2.0131 2.0131 12.1102
2.0131 2.0131 8.0122
0.0000 2.0131 1.8485
0.0000 0.0000 0.0000
0.0000 0.0000 3.9163
0.0000 0.0000 12.1081
0.0000 0.0000 8.0122
```

Values from the calculation:
The total magnetization is 0.000 μB per cell. For the formation energy, the calculation gives -17.9 kJ/mol of atoms.

# 3
A relaxed structure of GaHg3Pd6, computed with GGA-PBE.

Geometry as POSCAR:
```
GaHg3Pd6
1.0
-3.4418 4.9272 6.1494
-6.0676 -2.6365 -1.2835
2.5285 -4.1075 4.7063
Pd Hg Ga
12 6 2
Cartesian
-6.8589 -0.7357 5.0068
-8.4559 0.8739 3.1634
-4.6334 -1.9869 1.4793
-2.0467 -0.2604 7.5556
-4.5309 -1.1214 6.6589
-0.8547 -3.9323 4.9167
-2.0369 -1.2866 2.1753
-5.6902 1.4914 3.8764
1.7163 -3.0360 5.9777
-3.3604 1.1090 5.5269
0.3140 -1.7052 3.7864
-3.2074 -3.5170 3.3073
-3.0063 3.2828 7.2262
-5.2019 -0.9009 9.3496
-5.8633 1.3378 6.7582
-5.4181 -3.0330 4.9251
-2.3164 -1.4383 4.9559
-3.2225 1.1507 2.8017
-6.3656 -0.5585 2.5026
-2.1106 0.8825 9.7413
```

Values from the calculation:
Its relative energy among the computed polymorphs is 0.186 eV per atom. The total magnetization is 0.000 μB per cell. For the formation energy, the calculation gives -9.9 kJ/mol of atoms.

# 4
A relaxed structure of GaHgPd14, computed with GGA-PBE.

Geometry as POSCAR:
```
GaHgPd14
1.0
-3.1195 -3.5311 -2.9824
3.6572 -2.1118 3.6414
-6.4147 0.1515 6.5303
Pd Hg Ga
14 1 1
Cartesian
-3.6810 -2.5312 6.0366
-7.1072 -3.2385 2.7760
-1.4321 -3.8768 5.1006
-1.1099 -3.1102 -1.0180
2.2815 -2.3999 2.2968
-2.0569 -4.3423 1.3111
-1.7024 -1.0402 4.7693
-0.5061 -2.6062 2.8045
-3.8439 -3.3156 -0.5462
-2.3203 -1.5773 0.9882
-5.5056 -1.5021 4.2308
-5.2422 -4.2670 4.5537
0.4507 -1.3541 0.4741
0.7177 -4.1567 0.8015
0.1320 -2.1026 6.5959
-3.2612 -2.8133 3.2792
```

Values from the calculation:
The total magnetization is 0.001 μB per cell. For the formation energy, the calculation gives -10.0 kJ/mol of atoms.

# 5
A relaxed structure of GaHgPd2, computed with GGA-PBE.

Geometry as POSCAR:
```
GaHgPd2
1.0
-2.4497 3.1300 0.8657
0.4729 -0.7290 3.9740
6.1843 6.7679 2.5876
Pd Ga Hg
4 2 2
Cartesian
2.8992 7.1912 6.0970
3.9063 5.9619 3.8340
0.1225 3.4954 1.6676
1.4871 1.6894 3.2559
2.8344 3.6197 4.4907
-0.9884 1.2005 2.4198
0.0000 0.0000 0.0000
1.3731 5.5492 2.9365
```

Values from the calculation:
The total magnetization is 0.000 μB per cell. For the formation energy, the calculation gives -6.5 kJ/mol of atoms.

# 6
A relaxed structure of Ga3HgPd12, computed with GGA-PBE.

Geometry as POSCAR:
```
Ga3HgPd12
1.0
-0.7676 -1.0591 -3.7656
3.8555 0.4435 -0.9106
2.5849 -14.9320 3.6728
Pd Ga Hg
12 3 1
Cartesian
1.8531 -13.4513 1.2955
2.9038 -5.4167 0.9316
1.5440 -0.3078 -2.3381
2.2062 -4.1333 -1.3972
3.4666 -11.4144 0.3937
0.5923 -6.1679 -0.4959
2.2758 -1.7886 0.0392
4.1647 -12.7000 2.7230
1.2251 -9.8232 0.4031
-0.0358 -2.5398 -1.3883
2.8364 -7.7738 -0.5017
3.5366 -9.0719 1.8306
1.9278 -11.1360 2.7391
0.6571 -3.7961 0.9337
1.2925 -7.4660 1.8364
0.0000 0.0000 0.0000
```

Values from the calculation:
The total magnetization is 0.000 μB per cell. For the formation energy, the calculation gives -34.5 kJ/mol of atoms.

# 7
A relaxed structure of GaHg3Pd4, computed with GGA-PBE.

Geometry as POSCAR:
```
GaHg3Pd4
1.0
-0.2132 -2.8520 1.0803
0.0857 -1.0881 -2.8557
14.7640 -0.8176 0.7547
Pd Hg Ga
4 3 1
Cartesian
13.2746 -0.7351 0.6786
1.4894 -0.0825 0.0761
9.2983 -0.5149 0.4753
5.4657 -0.3027 0.2794
7.3183 -2.3789 -0.5104
3.4728 -2.1659 -0.7069
11.1638 -2.5918 -0.3138
-0.0637 -1.9701 -0.8877
```

Values from the calculation:
The total magnetization is 0.000 μB per cell. For the formation energy, the calculation gives -27.6 kJ/mol of atoms.

# 8
A relaxed structure of GaHg3Pd6, computed with GGA-PBE.

Geometry as POSCAR:
```
GaHg3Pd6
1.0
4.2655 0.0000 0.0000
0.0000 8.3691 -1.7607
0.0000 0.8210 9.2940
Pd Ga Hg
12 2 6
Cartesian
1.0664 2.2045 4.1778
3.1991 7.7667 6.0112
3.1991 3.0978 2.2169
1.0664 3.8570 0.1123
3.1991 1.5596 6.0123
3.1991 6.9856 3.3556
1.0664 1.1442 8.1679
3.1991 8.0459 -0.6345
3.1991 5.3331 7.4211
1.0664 1.4234 1.5222
1.0664 6.0923 5.3165
1.0664 7.6304 1.5211
1.0664 8.3710 4.1140
3.1991 0.8191 3.4194
3.1991 4.2681 4.7802
3.1991 5.6494 0.7795
3.1991 2.0114 -0.4170
1.0664 7.1787 7.9504
1.0664 4.9219 2.7532
1.0664 3.5407 6.7539
```

Values from the calculation:
Its relative energy among the computed polymorphs is 0.000 eV per atom. The total magnetization is 0.000 μB per cell. For the formation energy, the calculation gives -27.9 kJ/mol of atoms.

# 9
A relaxed structure of GaHgPd5, computed with GGA-PBE.

Geometry as POSCAR:
```
GaHgPd5
1.0
7.0061 1.9740 1.4110
4.0948 6.0179 1.4110
5.7118 4.1122 8.3648
Pd Ga Hg
10 2 2
Cartesian
12.5642 8.9996 9.4200
8.6796 6.3718 2.7917
5.1605 3.8382 4.2128
8.1330 5.7323 8.3952
4.2484 3.1044 1.7669
9.0194 8.2119 7.6847
11.6522 8.2658 6.9741
7.7933 3.8921 3.5022
9.6649 7.0039 5.2376
7.1478 5.1001 5.9493
6.3232 5.9340 3.5022
10.4894 6.1700 7.6847
0.0000 0.0000 0.0000
2.8559 2.0561 4.1824
```

Values from the calculation:
Its relative energy among the computed polymorphs is 0.030 eV per atom. The total magnetization is 0.000 μB per cell. For the formation energy, the calculation gives -17.4 kJ/mol of atoms.

# 10
A relaxed structure of Ga2HgPd, computed with GGA-PBE.

Geometry as POSCAR:
```
Ga2HgPd
1.0
-3.4154 0.4157 -1.0905
-2.0862 -2.8949 -0.5428
-3.9746 -0.5599 6.2622
Ga Hg Pd
2 1 1
Cartesian
-3.5159 -0.6170 4.8036
-2.2840 -0.7703 0.8869
-4.7358 -1.5198 2.3072
-3.6786 -1.6514 -1.0542
```

Values from the calculation:
The total magnetization is 0.000 μB per cell. For the formation energy, the calculation gives -13.7 kJ/mol of atoms.

# 11
A relaxed structure of Ga2HgPd8, computed with GGA-PBE.

Geometry as POSCAR:
```
Ga2HgPd8
1.0
0.0868 0.4597 -4.5876
1.7391 -5.6668 0.0310
-7.1597 0.6806 1.9707
Pd Ga Hg
8 2 1
Cartesian
-3.3069 -3.5946 -0.9431
-6.0224 -0.4273 -1.5479
-2.8309 -1.8788 -3.1315
-1.1670 -1.7240 -0.8080
-0.6195 -4.5111 -0.7513
-3.9381 0.7388 -3.2122
-5.6447 -1.9921 0.5993
-1.1199 0.3919 -3.1016
-3.6650 -1.0255 -0.8533
-0.5252 -2.9487 -3.0177
-4.9027 -4.5211 1.2207
```

Values from the calculation:
Its relative energy among the computed polymorphs is 0.049 eV per atom. The total magnetization is 0.000 μB per cell. For the formation energy, the calculation gives -32.2 kJ/mol of atoms.

# 12
A relaxed structure of GaHgPd2, computed with GGA-PBE.

Geometry as POSCAR:
```
GaHgPd2
1.0
3.0416 0.0000 0.0000
0.0000 3.0416 0.0000
0.0000 0.0000 7.1480
Ga Pd Hg
1 2 1
Cartesian
1.5208 1.5208 0.0000
0.0000 0.0000 5.6461
0.0000 0.0000 1.5019
1.5208 1.5208 3.5740
```

Values from the calculation:
The total magnetization is 0.000 μB per cell. For the formation energy, the calculation gives -40.4 kJ/mol of atoms.

# 13
A relaxed structure of GaHgPd, computed with GGA-PBE.

Geometry as POSCAR:
```
GaHgPd
1.0
-0.0934 -1.5477 2.7801
0.0917 -1.6313 -2.7275
12.7836 0.0003 0.4297
Pd Hg Ga
2 2 2
Cartesian
10.5471 -1.3293 -0.3857
2.2863 -1.3295 -0.6633
-0.0368 -1.3033 1.0956
6.4173 -1.3623 -0.5428
3.9917 -1.3041 1.2305
8.7184 -1.3040 1.3894
```

Values from the calculation:
Its relative energy among the computed polymorphs is 0.000 eV per atom. The total magnetization is 0.000 μB per cell. For the formation energy, the calculation gives -17.7 kJ/mol of atoms.

# 14
A relaxed structure of GaHgPd2, computed with GGA-PBE.

Geometry as POSCAR:
```
GaHgPd2
1.0
3.2092 0.0000 0.0000
0.0000 4.5680 0.0000
0.0000 0.0000 4.5680
Ga Pd Hg
1 2 1
Cartesian
1.6046 0.0000 0.0000
0.0000 2.2840 0.0000
0.0000 0.0000 2.2840
1.6046 2.2840 2.2840
```

Values from the calculation:
The total magnetization is 0.000 μB per cell. For the formation energy, the calculation gives -28.7 kJ/mol of atoms.

# 15
A relaxed structure of PmGaHgPd, computed with GGA-PBE.

Geometry as POSCAR:
```
PmGaHgPd
1.0
-0.7432 -4.6243 -1.4753
1.3503 -3.7425 2.8781
-3.4131 -2.7607 2.2005
Hg Ga Pm Pd
1 1 1 1
Cartesian
-1.4030 -5.5637 1.8017
-0.7015 -2.7819 0.9008
0.0000 0.0000 0.0000
-2.1045 -8.3456 2.7025
```

Values from the calculation:
The total magnetization is 0.000 μB per cell. For the formation energy, the calculation gives -47.8 kJ/mol of atoms.

# 16
A relaxed structure of Pm2Ga3HgPd4, computed with GGA-PBE.

Geometry as POSCAR:
```
Pm2Ga3HgPd4
1.0
-0.8345 -3.6699 1.6595
1.4277 -1.8542 -3.3826
10.7751 -0.3154 4.7207
Hg Pm Pd Ga
1 2 4 3
Cartesian
5.6842 -2.9197 1.4988
8.8060 -1.1640 1.8540
2.2658 -1.9135 2.0052
4.3618 -1.0339 -0.0930
6.7099 -2.0435 3.9523
0.2966 -2.7620 -0.8615
0.0000 0.0000 0.0000
8.9887 -2.1102 4.9506
5.3876 -0.1577 2.3604
2.0830 -0.9672 -1.0914
```

Values from the calculation:
The total magnetization is 0.000 μB per cell. For the formation energy, the calculation gives -67.8 kJ/mol of atoms.

# 17
A relaxed structure of Pm2Ga2HgPd5, computed with GGA-PBE.

Geometry as POSCAR:
```
Pm2Ga2HgPd5
1.0
-2.9383 -1.7313 -1.6806
6.1360 -7.2175 -3.2927
-1.6909 -5.2569 8.3720
Pd Pm Ga Hg
10 4 4 2
Cartesian
3.9110 -8.7368 -2.1382
-2.4043 -5.4690 5.5369
-2.3146 -3.4941 3.3457
-0.6620 -5.9054 2.9404
2.1688 -8.3004 0.4583
1.7787 -11.4644 4.4000
-0.2719 -2.7413 -1.0013
1.5988 -4.4744 -2.4866
0.7892 -8.6876 3.2693
0.7176 -5.5181 0.1294
3.8606 -5.8331 -0.7406
0.5845 -6.6413 5.8199
0.5502 -2.9781 2.1060
3.8949 -9.4964 2.9733
2.1324 -3.3744 -0.2519
2.3127 -9.1000 5.3312
4.7592 -8.3548 0.2861
-0.3141 -4.1197 4.7932
2.2225 -6.2372 2.5396
0.0000 0.0000 0.0000
```

Values from the calculation:
The total magnetization is 0.000 μB per cell. For the formation energy, the calculation gives -62.4 kJ/mol of atoms.

# 18
A relaxed structure of PrGaHgPd, computed with GGA-PBE.

Geometry as POSCAR:
```
PrGaHgPd
1.0
-0.8448 -1.3374 -4.7287
3.8275 -1.0876 -3.0051
0.7817 -4.7105 -1.4364
Pd Ga Pr Hg
1 1 1 1
Cartesian
1.8822 -3.5677 -4.5851
0.9411 -1.7839 -2.2926
2.8234 -5.3516 -6.8777
0.0000 0.0000 0.0000
```

Values from the calculation:
The total magnetization is 0.000 μB per cell. For the formation energy, the calculation gives -45.7 kJ/mol of atoms.

# 19
A relaxed structure of PrGa2HgPd5, computed with GGA-PBE.

Geometry as POSCAR:
```
PrGa2HgPd5
1.0
-0.3848 -3.2259 -2.6828
-0.9038 -2.5671 3.2164
-9.1779 1.9471 -1.0250
Pd Hg Pr Ga
5 1 1 2
Cartesian
-2.6921 -1.0826 -1.6206
-2.9516 -0.7533 1.3290
-6.8706 -0.1962 -2.0872
-5.2333 -1.9230 -0.2457
-7.1301 0.1332 0.8624
0.0000 0.0000 0.0000
-4.5890 0.9735 -0.5125
-1.8381 -2.6433 0.1335
-8.6284 -1.2027 -0.6249
```

Values from the calculation:
The total magnetization is 0.000 μB per cell. For the formation energy, the calculation gives -48.4 kJ/mol of atoms.

# 20
A relaxed structure of Pr2Ga4HgPd3, computed with GGA-PBE.

Geometry as POSCAR:
```
Pr2Ga4HgPd3
1.0
-2.9197 -2.7095 -1.8123
2.0383 -3.4162 1.8235
-6.1802 0.9050 8.6036
Ga Pr Pd Hg
4 2 3 1
Cartesian
-5.4365 -0.7724 4.6298
-1.1844 -1.3854 3.9794
-0.4407 -3.0628 0.0056
0.0000 0.0000 0.0000
-2.9299 -1.1395 1.1403
-3.6910 -1.0184 7.4688
0.2486 -1.5953 1.9844
-3.0901 0.4525 4.3018
-6.8695 -0.5626 6.6247
-3.5308 -2.6104 4.3074
```

Values from the calculation:
The total magnetization is 0.000 μB per cell. For the formation energy, the calculation gives -66.7 kJ/mol of atoms.